A geometry-optimized Li2GaSe2 structure, computed with PBE.

Geometry as POSCAR:
```
Li2GaSe2
1.0
7.965 0.000 0.000
0.000 7.965 0.000
0.000 0.000 2.928
Ga Se Li
2 4 4
Direct
0.000 0.000 0.000 Ga
0.500 0.500 0.000 Ga
0.332 0.832 0.000 Se
0.832 0.668 0.000 Se
0.668 0.168 0.000 Se
0.168 0.332 0.000 Se
0.131 0.631 0.500 Li
0.631 0.869 0.500 Li
0.869 0.369 0.500 Li
0.369 0.131 0.500 Li
```

Results
Fermi-level density of states	0.80	states/eV/f.u.
formation energy from raw total energies	-0.6960	eV per atom
SG	P4/mbm
energy	-34.61	eV for the cell shown

A geometry-optimized Li2GaSe structure, computed with PBE.

Geometry as POSCAR:
```
Li2GaSe
1.0
4.442 0.000 0.000
0.000 4.442 0.000
2.221 2.221 8.345
Ga Se Li
2 2 4
Direct
0.500 0.500 0.000 Ga
0.250 0.750 0.500 Ga
0.000 0.000 0.000 Se
0.750 0.250 0.500 Se
0.668 0.125 0.250 Li
0.082 0.625 0.250 Li
0.375 0.332 0.750 Li
0.875 0.918 0.750 Li
```

Results
Fermi-level density of states	0.64	states/eV/f.u.
formation energy from raw total energies	-0.4556	eV per atom
SG	I-42d
energy	-24.32	eV for the cell shown
offset from the most stable computed form	0.054	eV/atom

A geometry-optimized LiGa2SiSe6 structure, computed with PBE.

Geometry as POSCAR:
```
LiGa2SiSe6
1.0
7.171 0.218 0.226
2.582 8.900 -0.181
2.582 -0.510 8.887
Li Ga Si Se
2 4 2 12
Direct
0.250 0.890 0.110 Li
0.750 0.110 0.890 Li
0.371 0.767 0.599 Ga
0.129 0.401 0.233 Ga
0.629 0.233 0.401 Ga
0.871 0.599 0.767 Ga
0.250 0.173 0.827 Si
0.750 0.827 0.173 Si
0.160 0.953 0.822 Se
0.340 0.178 0.047 Se
0.840 0.047 0.178 Se
0.660 0.822 0.953 Se
0.431 0.871 0.351 Se
0.069 0.649 0.129 Se
0.569 0.129 0.649 Se
0.931 0.351 0.871 Se
0.094 0.681 0.555 Se
0.406 0.445 0.319 Se
0.906 0.319 0.445 Se
0.594 0.555 0.681 Se
```

Results
Fermi-level density of states	0.17	states/eV/f.u.
formation energy from raw total energies	-0.4851	eV per atom
SG	C2/c
energy	-78.30	eV for the cell shown

A geometry-optimized Li2GaSiSe4 structure, computed with PBE.

Geometry as POSCAR:
```
Li2GaSiSe4
1.0
-1.411 5.332 -2.147
0.662 -2.045 -5.513
-5.157 -3.106 3.677
Li Ga Si Se
2 1 1 4
Direct
0.487 0.988 0.972 Li
0.235 0.235 0.472 Li
0.988 0.489 0.972 Ga
0.736 0.735 0.472 Si
0.614 0.632 0.702 Se
0.838 0.385 0.239 Se
0.405 0.856 0.241 Se
0.084 0.068 0.705 Se
```

Results
Fermi-level density of states	4.93	states/eV/f.u.
formation energy from raw total energies	-0.6990	eV per atom
SG	P1
energy	-31.81	eV for the cell shown

A geometry-optimized Li3Tb3GaSe8 structure, computed with PBE.

Geometry as POSCAR:
```
Li3Tb3GaSe8
1.0
8.095 0.000 0.000
-4.047 7.010 -0.026
0.000 -4.653 6.402
Li Tb Ga Se
3 3 1 8
Direct
0.000 0.000 0.000 Li
0.000 0.500 0.000 Li
0.500 0.500 0.000 Li
0.500 0.000 0.500 Tb
0.500 0.500 0.500 Tb
0.000 0.500 0.500 Tb
0.000 0.000 0.500 Ga
0.248 0.495 0.243 Se
0.752 0.505 0.757 Se
0.763 0.526 0.255 Se
0.237 0.474 0.745 Se
0.763 0.992 0.255 Se
0.237 0.008 0.745 Se
0.229 0.992 0.255 Se
0.771 0.008 0.745 Se
```

Results
Fermi-level density of states	9.23	states/eV/f.u.
formation energy from raw total energies	-1.3499	eV per atom
SG	R-3m
energy	-70.78	eV for the cell shown

A geometry-optimized Li2GaTeSe4 structure, computed with PBE.

Geometry as POSCAR:
```
Li2GaTeSe4
1.0
-4.337 -4.740 0.996
2.486 -2.404 -3.352
4.995 2.426 6.057
Li Ga Te Se
2 1 1 4
Direct
0.505 0.055 0.964 Li
0.186 0.088 0.414 Li
0.983 0.518 0.983 Ga
0.713 0.600 0.484 Te
0.588 0.590 0.746 Se
0.956 0.453 0.252 Se
0.391 0.929 0.193 Se
0.067 0.154 0.738 Se
```

Results
Fermi-level density of states	1.77	states/eV/f.u.
formation energy from raw total energies	-0.5777	eV per atom
SG	P1
energy	-28.56	eV for the cell shown

A geometry-optimized LiGa2TeSe2 structure, computed with PBE.

Geometry as POSCAR:
```
LiGa2TeSe2
1.0
7.273 0.000 0.000
0.000 7.265 0.000
0.000 -3.632 6.297
Li Ga Te Se
2 4 2 4
Direct
0.296 0.795 0.000 Li
0.796 0.205 0.000 Li
0.821 0.838 0.339 Ga
0.821 0.499 0.661 Ga
0.321 0.501 0.339 Ga
0.321 0.162 0.661 Ga
0.676 0.838 0.000 Te
0.176 0.162 0.000 Te
0.180 0.829 0.355 Se
0.180 0.474 0.645 Se
0.680 0.171 0.645 Se
0.680 0.526 0.355 Se
```

Results
Fermi-level density of states	3.32	states/eV/f.u.
formation energy from raw total energies	-0.5614	eV per atom
SG	Cmc2_1
energy	-42.89	eV for the cell shown

A geometry-optimized Li3Tm3GaSe8 structure, computed with PBE.

Geometry as POSCAR:
```
Li3Tm3GaSe8
1.0
-6.113 3.897 -3.278
0.624 -7.883 -0.880
-1.800 3.090 7.030
Li Tm Ga Se
3 3 1 8
Direct
0.000 0.000 0.000 Li
0.000 0.500 0.000 Li
0.500 0.500 0.000 Li
0.500 0.000 0.500 Tm
0.500 0.500 0.500 Tm
0.000 0.500 0.500 Tm
0.000 0.000 0.500 Ga
0.249 0.498 0.247 Se
0.751 0.502 0.753 Se
0.761 0.522 0.257 Se
0.239 0.478 0.743 Se
0.761 0.996 0.257 Se
0.239 0.004 0.743 Se
0.235 0.996 0.257 Se
0.765 0.004 0.743 Se
```

Results
Fermi-level density of states	8.49	states/eV/f.u.
formation energy from raw total energies	-1.3536	eV per atom
SG	R-3m
energy	-70.36	eV for the cell shown

A geometry-optimized Li3U3GaSe8 structure, computed with PBE.

Geometry as POSCAR:
```
Li3U3GaSe8
1.0
8.150 0.000 0.000
-4.075 7.057 -0.024
0.000 -4.684 6.434
Li U Ga Se
3 3 1 8
Direct
0.000 0.000 0.000 Li
0.000 0.500 0.000 Li
0.500 0.500 0.000 Li
0.500 0.000 0.500 U
0.500 0.500 0.500 U
0.000 0.500 0.500 U
0.000 0.000 0.500 Ga
0.246 0.492 0.239 Se
0.754 0.508 0.761 Se
0.757 0.514 0.259 Se
0.243 0.486 0.741 Se
0.757 0.002 0.259 Se
0.243 0.998 0.741 Se
0.245 0.002 0.259 Se
0.755 0.998 0.741 Se
```

Results
Fermi-level density of states	13.72	states/eV/f.u.
formation energy from raw total energies	-1.0570	eV per atom
SG	R-3m
energy	-86.36	eV for the cell shown

A geometry-optimized LiVGaSe2 structure, computed with PBE.

Geometry as POSCAR:
```
LiVGaSe2
1.0
5.142 0.000 0.000
0.000 4.771 0.000
0.000 0.000 5.142
Li Ga Se V
1 1 2 1
Direct
0.500 0.500 0.500 Li
0.000 0.000 0.000 Ga
0.000 0.000 0.500 Se
0.500 0.000 0.000 Se
0.000 0.500 0.000 V
```

Results
Fermi-level density of states	5.02	states/eV/f.u.
formation energy from raw total energies	0.3820	eV per atom
SG	P4/mmm
energy	-19.12	eV for the cell shown

A geometry-optimized Li3Y3GaSe8 structure, computed with PBE.

Geometry as POSCAR:
```
Li3Y3GaSe8
1.0
-2.701 7.590 -0.444
-5.149 -6.034 1.481
5.304 2.206 5.433
Li Y Ga Se
3 3 1 8
Direct
0.000 0.000 0.000 Li
0.000 0.500 0.000 Li
0.500 0.500 0.000 Li
0.500 0.000 0.500 Y
0.500 0.500 0.500 Y
0.000 0.500 0.500 Y
0.000 0.000 0.500 Ga
0.248 0.495 0.243 Se
0.752 0.505 0.757 Se
0.763 0.526 0.256 Se
0.237 0.474 0.744 Se
0.763 0.993 0.256 Se
0.237 0.007 0.744 Se
0.230 0.993 0.256 Se
0.770 0.007 0.744 Se
```

Results
Fermi-level density of states	8.88	states/eV/f.u.
formation energy from raw total energies	-1.3584	eV per atom
SG	R-3m
energy	-76.41	eV for the cell shown

A geometry-optimized Li2YGaSe4 structure, computed with PBE.

Geometry as POSCAR:
```
Li2YGaSe4
1.0
7.900 -0.016 -0.185
-0.022 7.900 -0.185
-4.009 -4.012 5.760
Li Y Ga Se
4 2 2 8
Direct
0.500 0.000 0.000 Li
0.500 0.000 0.500 Li
0.000 0.000 0.500 Li
0.500 0.500 0.000 Li
0.000 0.500 0.000 Y
0.000 0.500 0.500 Y
0.500 0.500 0.500 Ga
0.000 0.000 0.000 Ga
0.263 0.753 0.008 Se
0.747 0.237 0.492 Se
0.253 0.763 0.508 Se
0.737 0.247 0.992 Se
0.744 0.757 0.971 Se
0.743 0.756 0.529 Se
0.257 0.244 0.471 Se
0.256 0.243 0.029 Se
```

Results
Fermi-level density of states	0.14	states/eV/f.u.
formation energy from raw total energies	-1.1828	eV per atom
SG	Imma
energy	-73.44	eV for the cell shown

A geometry-optimized LiZn2GaSe4 structure, computed with PBE.

Geometry as POSCAR:
```
LiZn2GaSe4
1.0
-2.513 3.441 -3.937
-2.641 -4.605 -2.337
-1.808 1.341 6.599
Li Zn Ga Se
1 2 1 4
Direct
0.000 0.000 0.000 Li
0.750 0.250 0.500 Zn
0.250 0.750 0.500 Zn
0.500 0.500 0.000 Ga
0.619 0.619 0.750 Se
0.381 0.869 0.250 Se
0.869 0.381 0.250 Se
0.131 0.131 0.750 Se
```

Results
Fermi-level density of states	0.00	states/eV/f.u.
formation energy from raw total energies	-0.8116	eV per atom
SG	I-42m
energy	-27.92	eV for the cell shown

A geometry-optimized Li14GaSi structure, computed with PBE.

Geometry as POSCAR:
```
Li14GaSi
1.0
6.581 -0.014 0.000
0.014 6.581 0.000
0.000 0.000 6.416
Li Ga Si
14 1 1
Direct
0.875 0.875 0.000 Li
0.375 0.375 0.000 Li
0.875 0.375 0.500 Li
0.875 0.375 0.000 Li
0.375 0.875 0.500 Li
0.375 0.875 0.000 Li
0.631 0.119 0.280 Li
0.631 0.119 0.720 Li
0.119 0.631 0.280 Li
0.119 0.631 0.720 Li
0.631 0.631 0.280 Li
0.631 0.631 0.720 Li
0.119 0.119 0.280 Li
0.119 0.119 0.720 Li
0.375 0.375 0.500 Ga
0.875 0.875 0.500 Si
```

Results
Fermi-level density of states	5.11	states/eV/f.u.
formation energy from raw total energies	-0.0948	eV per atom
SG	P4/mmm
energy	-36.76	eV for the cell shown

A geometry-optimized LiGa4Si2 structure, computed with PBE.

Geometry as POSCAR:
```
LiGa4Si2
1.0
4.805 0.000 0.000
0.000 4.805 0.000
2.403 2.403 6.276
Si Ga Li
2 4 1
Direct
0.601 0.601 0.798 Si
0.399 0.399 0.202 Si
0.804 0.804 0.391 Ga
0.196 0.196 0.609 Ga
0.000 0.500 0.000 Ga
0.500 0.000 0.000 Ga
0.000 0.000 0.000 Li
```

Results
Fermi-level density of states	3.03	states/eV/f.u.
formation energy from raw total energies	0.4074	eV per atom
SG	I4/mmm
energy	-22.02	eV for the cell shown

A geometry-optimized Li2Ga3Si structure, computed with PBE.

Geometry as POSCAR:
```
Li2Ga3Si
1.0
5.089 -0.660 -1.534
-1.519 4.902 -1.534
0.528 0.627 8.027
Li Ga Si
4 6 2
Direct
0.250 0.750 0.500 Li
0.748 0.748 0.000 Li
0.750 0.250 0.500 Li
0.252 0.252 0.000 Li
0.338 0.830 0.168 Ga
0.170 0.662 0.832 Ga
0.662 0.170 0.832 Ga
0.830 0.338 0.168 Ga
0.168 0.168 0.337 Ga
0.832 0.832 0.663 Ga
0.665 0.665 0.331 Si
0.335 0.335 0.669 Si
```

Results
Fermi-level density of states	1.15	states/eV/f.u.
formation energy from raw total energies	-0.1548	eV per atom
SG	Fmmm
energy	-38.52	eV for the cell shown

A geometry-optimized Li8Ga2Si structure, computed with PBE.

Geometry as POSCAR:
```
Li8Ga2Si
1.0
4.387 1.025 0.000
1.590 6.938 0.000
0.795 3.469 6.405
Li Ga Si
8 2 1
Direct
0.861 0.092 0.217 Li
0.861 0.309 0.783 Li
0.294 0.384 0.000 Li
0.500 0.797 0.406 Li
0.500 0.203 0.594 Li
0.706 0.616 0.000 Li
0.139 0.691 0.217 Li
0.139 0.908 0.783 Li
0.000 0.312 0.376 Ga
0.000 0.688 0.624 Ga
0.500 0.000 0.000 Si
```

Results
Fermi-level density of states	3.87	states/eV/f.u.
formation energy from raw total energies	-0.1096	eV per atom
SG	C2/m
energy	-27.99	eV for the cell shown

A geometry-optimized Li2GaSi2 structure, computed with PBE.

Geometry as POSCAR:
```
Li2GaSi2
1.0
7.530 0.000 0.000
0.000 7.530 0.000
0.000 0.000 2.759
Si Ga Li
4 2 4
Direct
0.388 0.888 0.000 Si
0.888 0.612 0.000 Si
0.612 0.112 0.000 Si
0.112 0.388 0.000 Si
0.000 0.000 0.000 Ga
0.500 0.500 0.000 Ga
0.188 0.688 0.500 Li
0.688 0.812 0.500 Li
0.812 0.312 0.500 Li
0.312 0.188 0.500 Li
```

Results
Fermi-level density of states	1.86	states/eV/f.u.
formation energy from raw total energies	-0.0475	eV per atom
SG	P4/mbm
energy	-35.88	eV for the cell shown
offset from the most stable computed form	0.000	eV/atom

A geometry-optimized LiGa3Si structure, computed with PBE.

Geometry as POSCAR:
```
LiGa3Si
1.0
4.869 0.000 0.000
0.000 4.869 0.000
0.000 0.000 4.869
Si Ga Li
1 3 1
Direct
0.000 0.000 0.000 Si
0.000 0.500 0.000 Ga
0.000 0.000 0.500 Ga
0.500 0.000 0.000 Ga
0.500 0.500 0.500 Li
```

Results
Fermi-level density of states	3.05	states/eV/f.u.
formation energy from raw total energies	0.3089	eV per atom
SG	Pm-3m
energy	-14.87	eV for the cell shown
offset from the most stable computed form	0.000	eV/atom

A geometry-optimized Li2GaSi2 structure, computed with PBE.

Geometry as POSCAR:
```
Li2GaSi2
1.0
3.780 0.000 0.000
0.000 3.780 0.000
1.890 1.890 5.812
Si Ga Li
2 1 2
Direct
0.403 0.403 0.193 Si
0.597 0.597 0.807 Si
0.000 0.000 0.000 Ga
0.750 0.250 0.500 Li
0.250 0.750 0.500 Li
```

Results
Fermi-level density of states	1.99	states/eV/f.u.
formation energy from raw total energies	0.0514	eV per atom
SG	I4/mmm
energy	-17.44	eV for the cell shown
offset from the most stable computed form	0.099	eV/atom